No. 1
Density functional theory data (PBE-GGA) for an optimized crystal structure of BaCrBAu2.

Output
Volume   188.55 Å³/cell
DFT formation energy   167 kJ per mole of atoms

```
BaCrBAu2
1.0
-5.528 2.177 -0.407
-1.657 -4.598 -2.093
-1.209 -2.049 5.459
Cr Ba B Au
1 1 1 2
direct
0.500 0.500 0.500
0.000 0.000 0.000
0.000 0.500 0.000
0.500 0.000 0.000
0.000 0.000 0.500
```

---

No. 2
Density functional theory data (PBE-GGA) for an optimized crystal structure of Sb2Ir2Os.

Output
Volume   181.53 Å³/cell
ΔE_f (raw)   0.551 eV/atom

```
Sb2Ir2Os
1.0
-4.436 5.561 0.272
-4.624 -3.486 -4.141
-1.561 -1.387 2.910
Ir Sb Os
4 4 2
direct
0.632 0.132 0.000
0.868 0.632 0.000
0.132 0.368 0.000
0.368 0.868 0.000
0.673 0.827 0.500
0.173 0.673 0.500
0.327 0.173 0.500
0.827 0.327 0.500
0.500 0.500 0.000
0.000 0.000 0.000
```

---

Fermi-level density of states, record by record: 0.806; 0.856 states/eV/atom